(1)
DFT (GGA-PBE) results for AcNd3Cd after structural relaxation.

Geometry as POSCAR:
```
AcNd3Cd
1.0
-5.835 4.380 3.755
5.835 -4.380 3.755
5.835 4.380 -3.755
Ac Nd Cd
2 6 2
Cartesian
2.917 0.449 0.000
2.917 3.931 3.755
2.917 4.015 -0.004
0.206 2.196 1.877
5.629 2.196 1.877
2.917 0.365 3.751
-0.206 6.564 1.877
0.206 2.184 5.632
2.917 -2.187 5.629
2.917 6.567 1.874
```

Computed properties:
Total energy ... -18.43 eV/f.u.
Theoretical density ... 6.7 Mg/m³
Calculated formation energy ... 179 meV per atom
Space group ... Ima2 (46)

(2)
DFT (GGA-PBE) results for Ac4Nd5Cd after structural relaxation.

Geometry as POSCAR:
```
Ac4Nd5Cd
1.0
3.859 0.000 0.000
0.000 3.859 0.000
0.000 0.000 25.061
Ac Nd Cd
4 5 1
Cartesian
0.000 0.000 2.650
0.000 0.000 7.964
0.000 0.000 17.097
0.000 0.000 22.412
1.929 1.929 0.000
1.929 1.929 5.314
1.929 1.929 10.584
1.929 1.929 14.477
1.929 1.929 19.747
0.000 0.000 12.531
```

Computed properties:
Total energy ... -41.65 eV/f.u.
Theoretical density ... 7.7 Mg/m³
Calculated formation energy ... -46 meV per atom
Space group ... P4/mmm (123)

(3)
DFT (GGA-PBE) results for AcNd6Cd after structural relaxation.

Geometry as POSCAR:
```
AcNd6Cd
1.0
5.130 0.000 0.000
0.000 5.130 0.000
0.000 0.000 10.372
Ac Nd Cd
1 6 1
Cartesian
0.000 0.000 0.000
0.000 2.565 2.719
0.000 2.565 7.652
2.565 0.000 2.719
2.565 0.000 7.652
2.565 2.565 0.000
2.565 2.565 5.186
0.000 0.000 5.186
```

Computed properties:
Total energy ... -33.79 eV/f.u.
Theoretical density ... 7.3 Mg/m³
Calculated formation energy ... -20 meV per atom
Space group ... P4/mmm (123)

(4)
DFT (GGA-PBE) results for Ac3Nd2Cd2 after structural relaxation.

Geometry as POSCAR:
```
Ac3Nd2Cd2
1.0
2.627 -12.537 0.000
2.627 12.537 0.000
0.000 0.000 3.768
Ac Nd Cd
3 2 2
Cartesian
0.000 0.000 0.000
2.627 8.913 0.000
2.627 -8.913 0.000
2.627 5.359 1.884
2.627 -5.359 1.884
2.627 1.821 1.884
2.627 -1.821 1.884
```

Computed properties:
Total energy ... -23.86 eV/f.u.
Theoretical density ... 8.0 Mg/m³
Calculated formation energy ... -24 meV per atom
Space group ... Cmmm (65)

(5)
DFT (GGA-PBE) results for Ac4NdCd after structural relaxation.

Geometry as POSCAR:
```
Ac4NdCd
1.0
3.973 0.000 0.000
0.000 3.973 0.000
0.000 0.000 15.057
Ac Nd Cd
4 1 1
Cartesian
0.000 0.000 2.127
0.000 0.000 12.930
1.987 1.987 4.944
1.987 1.987 10.113
0.000 0.000 7.529
1.987 1.987 0.000
```

Computed properties:
Total energy ... -22.62 eV/f.u.
Theoretical density ... 8.1 Mg/m³
Calculated formation energy ... -84 meV per atom
Space group ... P4/mmm (123)

(6)
DFT (GGA-PBE) results for AcNd2Cd after structural relaxation.

Geometry as POSCAR:
```
AcNd2Cd
1.0
3.866 0.000 0.000
0.000 3.866 0.000
0.000 0.000 9.050
Ac Nd Cd
1 2 1
Cartesian
0.000 0.000 0.000
1.933 1.933 2.603
1.933 1.933 6.447
0.000 0.000 4.525
```

Computed properties:
Total energy ... -15.15 eV/f.u.
Theoretical density ... 7.7 Mg/m³
Calculated formation energy ... -148 meV per atom
Space group ... P4/mmm (123)

(7)
DFT (GGA-PBE) results for Ac2Nd3Cd4 after structural relaxation.

Geometry as POSCAR:
```
Ac2Nd3Cd4
1.0
3.548 -9.540 0.000
3.548 9.540 0.000
0.000 0.000 8.707
Ac Nd Cd
4 6 8
Cartesian
3.548 7.718 7.882
3.548 1.823 3.529
3.548 -1.823 5.178
3.548 -7.718 0.824
0.000 0.000 4.353
1.774 4.651 6.530
1.774 -4.651 2.177
3.548 0.000 0.000
5.321 4.651 6.530
5.321 -4.651 2.177
3.548 6.403 4.452
1.774 1.394 6.530
1.774 -1.394 2.177
3.548 3.137 0.099
3.548 -3.137 8.608
5.321 1.394 6.530
5.321 -1.394 2.177
3.548 -6.403 4.255
```

Computed properties:
Total energy ... -27.74 eV/f.u.
Theoretical density ... 7.5 Mg/m³
Calculated formation energy ... -173 meV per atom
Space group ... Cmce (64)

(8)
DFT (GGA-PBE) results for Ac4NdCd5 after structural relaxation.

Geometry as POSCAR:
```
Ac4NdCd5
1.0
4.036 0.000 0.000
0.000 4.036 0.000
0.000 0.000 20.146
Ac Nd Cd
4 1 5
Cartesian
0.000 0.000 2.062
0.000 0.000 6.200
0.000 0.000 13.946
0.000 0.000 18.084
0.000 0.000 10.073
2.018 2.018 0.000
2.018 2.018 4.122
2.018 2.018 8.318
2.018 2.018 11.828
2.018 2.018 16.024
```

Computed properties:
Total energy ... -28.72 eV/f.u.
Theoretical density ... 8.2 Mg/m³
Calculated formation energy ... -294 meV per atom
Space group ... P4/mmm (123)

What did the fourth record say?
DFT (GGA-PBE) results for Ac3Nd2Cd2 after structural relaxation.

Geometry as POSCAR:
```
Ac3Nd2Cd2
1.0
2.627 -12.537 0.000
2.627 12.537 0.000
0.000 0.000 3.768
Ac Nd Cd
3 2 2
Cartesian
0.000 0.000 0.000
2.627 8.913 0.000
2.627 -8.913 0.000
2.627 5.359 1.884
2.627 -5.359 1.884
2.627 1.821 1.884
2.627 -1.821 1.884
```

Computed properties:
Total energy ... -23.86 eV/f.u.
Theoretical density ... 8.0 Mg/m³
Calculated formation energy ... -24 meV per atom
Space group ... Cmmm (65)